Model a:
Entry from Alexandria via LeMat-Bulk: Li5Cu2Rh after structural relaxation (PBE).

Cell lengths 2.5375, 6.7583, 6.7583 Å; angles 80.70, 79.18, 79.18 degrees
With the nearest neighbours (Å) after each atom.
Sites, in units of the cell vectors:
Li1 0.3730 0.3698 0.8842  1 Cu 2.43, 3 Li 2.54
Li2 0.0000 0.5000 0.5000  2 Li 2.54, 2 Cu 2.54
Cu1 0.2544 0.2456 0.2456  3 Li 2.43-2.54, 2 Cu 2.54
Li3 0.3730 0.8842 0.3698  1 Cu 2.43, 3 Li 2.54
Li4 0.6270 0.6302 0.1158  1 Cu 2.43, 3 Li 2.54
Cu2 0.7456 0.7544 0.7544  3 Li 2.43-2.54, 2 Cu 2.54
Li5 0.6270 0.1158 0.6302  1 Cu 2.43, 3 Li 2.54
Rh1 0.0000 0.0000 0.0000  2 Rh 2.54, 4 Cu 2.76, 8 Li 2.78

Output
ρ: 3.97 g/cm³

Model b:
Entry from Alexandria via LeMat-Bulk: Li5Cu2Rh after structural relaxation (PBE).

Cell lengths 2.6382, 7.9249, 10.6960 Å; angles 90.00, 90.00, 90.00 degrees
With the nearest neighbours (Å) after each atom.
Sites, in units of the cell vectors:
Li1 0.0000 0.4986 0.2467  7 Li 2.64-2.87, 1 Rh 2.64, 4 Cu 2.68-2.82
Li2 0.5000 0.7691 0.6204  2 Cu 2.59-2.77, 2 Rh 2.60, 8 Li 2.64-2.87
Cu1 0.5000 0.7419 0.8787  8 Li 2.59-2.82, 2 Cu 2.64, 2 Rh 2.66
Cu2 0.5000 0.2419 0.6213  8 Li 2.59-2.82, 2 Cu 2.64, 2 Rh 2.66
Li3 0.5000 0.2691 0.8796  2 Cu 2.59-2.77, 2 Rh 2.60, 8 Li 2.64-2.87
Li4 0.0000 0.5014 0.7533  7 Li 2.64-2.87, 1 Rh 2.64, 4 Cu 2.68-2.82
Li5 0.5000 0.7309 0.1204  2 Cu 2.59-2.77, 2 Rh 2.60, 8 Li 2.64-2.87
Li6 0.0000 0.0014 0.7467  7 Li 2.64-2.87, 1 Rh 2.64, 4 Cu 2.68-2.82
Cu3 0.5000 0.7581 0.3787  8 Li 2.59-2.82, 2 Cu 2.64, 2 Rh 2.66
Rh1 0.0000 0.0000 0.5000  6 Li 2.60-2.64, 2 Rh 2.64, 4 Cu 2.66
Li7 0.0000 0.5000 0.5000  8 Li 2.64-2.82, 4 Cu 2.76
Rh2 0.0000 0.5000 0.0000  6 Li 2.60-2.64, 2 Rh 2.64, 4 Cu 2.66
Li8 0.0000 0.9986 0.2533  7 Li 2.64-2.87, 1 Rh 2.64, 4 Cu 2.68-2.82
Cu4 0.5000 0.2581 0.1213  8 Li 2.59-2.82, 2 Cu 2.64, 2 Rh 2.66
Li9 0.0000 0.0000 0.0000  8 Li 2.64-2.82, 4 Cu 2.76
Li10 0.5000 0.2309 0.3796  2 Cu 2.59-2.77, 2 Rh 2.60, 8 Li 2.64-2.87

Output
ρ: 3.93 g/cm³

Stability summary - winner: model b; margin: 26 meV/atom.

Model a:
Entry from Alexandria via LeMat-Bulk: LiCu2Rh2 after structural relaxation (PBE).

Cell lengths 7.4148, 7.4148, 2.6519 Å; angles 90.00, 90.00, 90.00 degrees
With the nearest neighbours (Å) after each atom.
Sites, in units of the cell vectors:
Cu1 0.6696 0.8304 0.5000  6 Rh 2.50-2.59, 2 Cu 2.65
Rh1 0.8721 0.6279 0.0000  6 Cu 2.50-2.59, 3 Rh 2.65-2.68
Rh2 0.6279 0.1279 0.0000  6 Cu 2.50-2.59, 3 Rh 2.65-2.68
Cu2 0.3304 0.1696 0.5000  6 Rh 2.50-2.59, 2 Cu 2.65
Li1 0.5000 0.5000 0.0000  2 Li 2.65, 4 Rh 2.92
Cu3 0.8304 0.3304 0.5000  6 Rh 2.50-2.59, 2 Cu 2.65
Cu4 0.1696 0.6696 0.5000  6 Rh 2.50-2.59, 2 Cu 2.65
Rh3 0.3721 0.8721 0.0000  6 Cu 2.50-2.59, 3 Rh 2.65-2.68
Li2 0.0000 0.0000 0.0000  2 Li 2.65, 4 Rh 2.92
Rh4 0.1279 0.3721 0.0000  6 Cu 2.50-2.59, 3 Rh 2.65-2.68

Output
ρ: 7.74 g/cm³

Model b:
Entry from Alexandria via LeMat-Bulk: LiCu2Rh2 after structural relaxation (PBE).

Cell lengths 2.6110, 7.1300, 8.6177 Å; angles 88.41, 81.29, 79.45 degrees
With the nearest neighbours (Å) after each atom.
Sites, in units of the cell vectors:
Cu1 0.3750 0.7500 0.2500  2 Rh 2.43, 2 Cu 2.61
Cu2 0.3750 0.2500 0.7500  2 Rh 2.43, 2 Cu 2.61
Rh1 0.9214 0.1571 0.5000  2 Cu 2.43, 4 Rh 2.56-2.61
Cu3 0.3750 0.2500 0.2500  2 Rh 2.43, 2 Cu 2.61
Rh2 0.1714 0.6571 0.0000  2 Cu 2.43, 4 Rh 2.56-2.61
Li1 0.5000 0.0000 0.0000  2 Li 2.61, 4 Rh 2.74, 4 Cu 2.78
Cu4 0.8750 0.7500 0.7500  2 Rh 2.43, 2 Cu 2.61
Rh3 0.5786 0.8429 0.5000  2 Cu 2.43, 4 Rh 2.56-2.61
Rh4 0.8286 0.3429 0.0000  2 Cu 2.43, 4 Rh 2.56-2.61
Li2 0.2500 0.5000 0.5000  2 Li 2.61, 4 Rh 2.74, 4 Cu 2.78

Output
ρ: 7.24 g/cm³

Model c:
Entry from Alexandria via LeMat-Bulk: LiCu2Rh2 after structural relaxation (PBE).

Cell lengths 3.3960, 3.3960, 6.7214 Å; angles 75.37, 75.37, 90.00 degrees
With the nearest neighbours (Å) after each atom.
Sites, in units of the cell vectors:
Cu1 0.7500 0.2500 0.5000  4 Cu 2.40, 4 Rh 2.54
Rh1 0.5992 0.5992 0.8017  1 Rh 2.49, 4 Cu 2.54, 4 Li 2.70
Li1 0.0000 0.0000 0.0000  8 Rh 2.70
Rh2 0.4008 0.4008 0.1983  1 Rh 2.49, 4 Cu 2.54, 4 Li 2.70
Cu2 0.2500 0.7500 0.5000  4 Cu 2.40, 4 Rh 2.54

Output
ρ: 7.79 g/cm³

Stability summary - winner: model a; margin: 151 meV/atom.